In2PdC | the Alexandria database | PBE | optimized geometry; calculated density = 6.91 g/cm³; space-group type = I-42d (122); calculated formation energy = 0.679 eV/atom
1.0
6.110 0.000 0.000
0.000 6.110 0.000
3.055 3.055 4.478
C In Pd
2 4 2
Direct
0.500 0.500 0.000
0.250 0.750 0.500
0.375 0.445 0.750
0.555 0.125 0.250
0.195 0.625 0.250
0.875 0.805 0.750
0.750 0.250 0.500
0.000 0.000 0.000

***

Rb2TiBr5Cl | the Alexandria database | PBE | optimized geometry; calculated density = 3.54 g/cm³; raw formation energy = -1.5228 eV per atom; space-group type = I4mm (107)
1.0
-2.331 -1.201 7.090
5.036 -4.679 -3.145
4.461 5.905 -1.541
Cl Br Ti Rb
1 5 1 2
Direct
0.000 0.777 0.777
0.000 0.762 0.236
0.474 0.236 0.236
0.526 0.762 0.762
0.000 0.234 0.234
0.000 0.236 0.762
0.000 0.996 0.996
0.500 0.749 0.249
0.500 0.249 0.749

***

VGeIrPd2 | the Alexandria database | PBE | optimized geometry; calculated density = 9.27 g/cm³; space-group type = P4/mmm (123); calculated formation energy = 0.793 eV/atom
1.0
4.545 0.000 0.000
0.000 4.586 0.000
0.000 0.000 4.545
Ir Pd V Ge
1 2 1 1
Direct
0.000 0.500 0.000
0.000 0.000 0.500
0.500 0.000 0.000
0.500 0.500 0.500
0.000 0.000 0.000

***

calculated density of number 2 (Rb2TiBr5Cl)? 3.54 g/cm³

***

What is the formula in the first record? In2PdC

***

Look up the calculated density of the third one. 9.27 g/cm³

***

Repeat the second record exactly.
Rb2TiBr5Cl | the Alexandria database | PBE | optimized geometry; calculated density = 3.54 g/cm³; raw formation energy = -1.5228 eV per atom; space-group type = I4mm (107)
1.0
-2.331 -1.201 7.090
5.036 -4.679 -3.145
4.461 5.905 -1.541
Cl Br Ti Rb
1 5 1 2
Direct
0.000 0.777 0.777
0.000 0.762 0.236
0.474 0.236 0.236
0.526 0.762 0.762
0.000 0.234 0.234
0.000 0.236 0.762
0.000 0.996 0.996
0.500 0.749 0.249
0.500 0.249 0.749